First-principles (PBE-GGA) data for a relaxed AlCdBr5 crystal, as listed in Alexandria via LeMat-Bulk.

Summary:
- total magnetic moment (μB/atom) = 0.00
- space group = No. 15
- D(E_F) (states/eV/atom) = 0.000
- calculated density (g cm⁻³) = 3.6
- uncorrected formation energy (eV per atom) = -0.944
- total DFT energy (no corrections) (eV per cell) = -39.25

The structure in POSCAR format:
```
AlCdBr5
1.0
7.093 0.075 -2.475
-1.020 7.021 -2.475
-0.014 -0.018 9.992
Cd Br Al
2 10 2
direct
0.500 0.000 0.500
0.500 0.000 0.000
0.160 0.723 0.838
0.223 0.659 0.338
0.407 0.092 0.250
0.593 0.908 0.750
0.840 0.277 0.162
0.787 0.742 0.453
0.242 0.287 0.953
0.213 0.258 0.547
0.777 0.341 0.662
0.758 0.713 0.047
0.111 0.389 0.750
0.889 0.611 0.250
```